1.
The following is a DFT calculation (PBE) of a relaxed Pr3HgS crystal.

POSCAR file:
```
Pr3HgS
1.0
5.4315 0.0000 0.0000
0.0000 5.4315 0.0000
0.0000 0.0000 5.4315
Pr Hg S
3 1 1
Direct
0.0000 0.0000 0.5000
0.0000 0.5000 0.0000
0.5000 0.0000 0.0000
0.5000 0.5000 0.5000
0.0000 0.0000 0.0000
```

Values from the calculation:
polymorph energy (0 for the lowest one) = 182 meV/atom
total magnetic moment = 0.00 μB/cell
formation energy without anion corrections = -0.783 eV per atom
crystal system = cubic

2.
The following is a DFT calculation (PBE) of a relaxed Pr3Hg5S12 crystal.

POSCAR file:
```
Pr3Hg5S12
1.0
-7.9899 7.9899 7.9899
7.9899 -7.9899 7.9899
7.9899 7.9899 -7.9899
Pr Hg S
12 20 48
Direct
0.1250 0.2500 0.3750
0.1250 0.3750 0.7500
0.2500 0.3750 0.1250
0.2500 0.8750 0.6250
0.3750 0.1250 0.2500
0.3750 0.7500 0.1250
0.6250 0.2500 0.8750
0.6250 0.8750 0.7500
0.7500 0.1250 0.3750
0.7500 0.6250 0.8750
0.8750 0.6250 0.2500
0.8750 0.7500 0.6250
0.0000 0.0000 0.0000
0.0000 0.0000 0.5000
0.0000 0.5000 0.0000
0.0000 0.5000 0.5000
0.1250 0.7500 0.8750
0.1250 0.8750 0.2500
0.2500 0.1250 0.8750
0.2500 0.6250 0.3750
0.3750 0.2500 0.6250
0.3750 0.6250 0.7500
0.5000 0.0000 0.0000
0.5000 0.0000 0.5000
0.5000 0.5000 0.0000
0.5000 0.5000 0.5000
0.6250 0.3750 0.2500
0.6250 0.7500 0.3750
0.7500 0.3750 0.6250
0.7500 0.8750 0.1250
0.8750 0.1250 0.7500
0.8750 0.2500 0.1250
0.0478 0.2186 0.1344
0.0478 0.3293 0.9134
0.0842 0.7186 0.6707
0.0842 0.8656 0.4134
0.0866 0.6344 0.4158
0.0866 0.9522 0.6707
0.1344 0.0478 0.2186
0.1344 0.5866 0.9158
0.1707 0.2186 0.5842
0.1707 0.4522 0.5866
0.2186 0.1344 0.0478
0.2186 0.5842 0.1707
0.2814 0.3293 0.9158
0.2814 0.4522 0.3656
0.3293 0.9134 0.0478
0.3293 0.9158 0.2814
0.3656 0.2814 0.4522
0.3656 0.5842 0.9134
0.4134 0.0842 0.8656
0.4134 0.8293 0.5478
0.4158 0.0866 0.6344
0.4158 0.8293 0.7814
0.4522 0.3656 0.2814
0.4522 0.5866 0.1707
0.5478 0.4134 0.8293
0.5478 0.6344 0.7186
0.5842 0.1707 0.2186
0.5842 0.9134 0.3656
0.5866 0.1707 0.4522
0.5866 0.9158 0.1344
0.6344 0.4158 0.0866
0.6344 0.7186 0.5478
0.6707 0.0842 0.7186
0.6707 0.0866 0.9522
0.7186 0.5478 0.6344
0.7186 0.6707 0.0842
0.7814 0.4158 0.8293
0.7814 0.8656 0.9522
0.8293 0.5478 0.4134
0.8293 0.7814 0.4158
0.8656 0.4134 0.0842
0.8656 0.9522 0.7814
0.9134 0.0478 0.3293
0.9134 0.3656 0.5842
0.9158 0.1344 0.5866
0.9158 0.2814 0.3293
0.9522 0.6707 0.0866
0.9522 0.7814 0.8656
```

Values from the calculation:
total magnetic moment = 0.00 μB/cell
formation energy without anion corrections = -0.584 eV per atom
crystal system = cubic

3.
The following is a DFT calculation (PBE) of a relaxed Pr6HgS5 crystal.

POSCAR file:
```
Pr6HgS5
1.0
3.6136 -6.2553 0.0000
3.6136 6.2553 0.0000
-2.3940 0.0000 6.7951
Pr Hg S
6 1 5
Direct
0.0662 0.4141 0.7418
0.2382 0.2382 0.2563
0.4141 0.0662 0.7418
0.5859 0.9338 0.2582
0.7618 0.7618 0.7437
0.9338 0.5859 0.2582
0.5000 0.5000 0.0000
0.0000 0.0000 0.5000
0.1667 0.8333 0.0000
0.3377 0.6623 0.5000
0.6623 0.3377 0.5000
0.8333 0.1667 0.0000
```

Values from the calculation:
total magnetic moment = 0.00 μB/cell
formation energy without anion corrections = -1.739 eV per atom
crystal system = monoclinic